No. 1
# PBE-GGA ScCu2ReAu, optimized geometry
data_ScCu2ReAu
_space_group_name_H-M_alt 'P 4/m m m'
_space_group_IT_number 123
_space_group_name_Hall '-P 4 2'
_cell_length_a 4.491
_cell_length_b 4.491
_cell_length_c 4.847
_cell_angle_alpha 90.00
_cell_angle_beta 90.00
_cell_angle_gamma 90.00
loop_
_atom_site_label
_atom_site_fract_x
_atom_site_fract_y
_atom_site_fract_z
Sc1 0.000 0.000 0.000
Cu1 0.000 0.500 0.000
Re1 0.500 0.500 0.500
Au1 0.000 0.000 0.500
# * DFT formation energy: 1.685 eV per atom
# * volume: 19.56 Å³ per atom
# * total magnetic moment: 2.1 μB per formula unit



No. 2
# PBE-GGA CuReTeAu2, optimized geometry
data_CuReTeAu2
_space_group_name_H-M_alt 'P 4/m m m'
_space_group_IT_number 123
_space_group_name_Hall '-P 4 2'
_cell_length_a 4.771
_cell_length_b 4.771
_cell_length_c 4.882
_cell_angle_alpha 90.00
_cell_angle_beta 90.00
_cell_angle_gamma 90.00
loop_
_atom_site_label
_atom_site_fract_x
_atom_site_fract_y
_atom_site_fract_z
Cu1 0.000 0.000 0.000
Re1 0.500 0.500 0.500
Te1 0.000 0.000 0.500
Au1 0.000 0.500 0.000
# * volume: 22.23 Å³ per atom
# * total magnetic moment: 3.9 μB per formula unit
# * formation energy without anion corrections: 1320 meV/atom



No. 3
# PBE-GGA VCuReAu2, optimized geometry
data_VCuReAu2
_space_group_name_H-M_alt 'P 4/m m m'
_space_group_IT_number 123
_space_group_name_Hall '-P 4 2'
_cell_length_a 4.561
_cell_length_b 4.561
_cell_length_c 4.317
_cell_angle_alpha 90.00
_cell_angle_beta 90.00
_cell_angle_gamma 90.00
loop_
_atom_site_label
_atom_site_fract_x
_atom_site_fract_y
_atom_site_fract_z
V1 0.000 0.000 0.000
Cu1 0.000 0.000 0.500
Re1 0.500 0.500 0.000
Au1 0.000 0.500 0.500
# * DFT formation energy: 1.486 eV per atom
# * volume: 17.96 Å³ per atom
# * total magnetic moment: 0.0 μB per formula unit



No. 4
# PBE-GGA VCuReAu2, optimized geometry
data_VCuReAu2
_space_group_name_H-M_alt 'P 4/m m m'
_space_group_IT_number 123
_space_group_name_Hall '-P 4 2'
_cell_length_a 4.964
_cell_length_b 4.964
_cell_length_c 4.611
_cell_angle_alpha 90.00
_cell_angle_beta 90.00
_cell_angle_gamma 90.00
loop_
_atom_site_label
_atom_site_fract_x
_atom_site_fract_y
_atom_site_fract_z
V1 0.000 0.000 0.000
Cu1 0.500 0.500 0.000
Re1 0.500 0.500 0.500
Au1 0.000 0.500 0.500
# * DFT formation energy: 1.773 eV per atom
# * volume: 22.72 Å³ per atom
# * total magnetic moment: 0.5 μB per formula unit



No. 5
# PBE-GGA CuRhAu3, optimized geometry
data_CuRhAu3
_space_group_name_H-M_alt 'P m -3 m'
_space_group_IT_number 221
_space_group_name_Hall '-P 4 2 3'
_cell_length_a 4.685
_cell_length_b 4.685
_cell_length_c 4.685
_cell_angle_alpha 90.00
_cell_angle_beta 90.00
_cell_angle_gamma 90.00
loop_
_atom_site_label
_atom_site_fract_x
_atom_site_fract_y
_atom_site_fract_z
Cu1 0.000 0.000 0.000
Rh1 0.500 0.500 0.500
Au1 0.000 0.000 0.500
# * DFT formation energy: 0.916 eV per atom
# * volume: 20.57 Å³ per atom
# * total magnetic moment: 0.7 μB per formula unit



No. 6
# PBE-GGA Cu2RhAu6, optimized geometry
data_Cu2RhAu6
_space_group_name_H-M_alt 'P 1 21/c 1'
_space_group_IT_number 14
_space_group_name_Hall '-P 2ybc'
_cell_length_a 7.312
_cell_length_b 4.794
_cell_length_c 8.705
_cell_angle_alpha 90.00
_cell_angle_beta 101.51
_cell_angle_gamma 90.00
loop_
_atom_site_label
_atom_site_fract_x
_atom_site_fract_y
_atom_site_fract_z
Cu1 0.165 0.001 0.106
Rh1 0.500 0.000 0.000
Au1 0.157 0.001 0.783
Au2 0.172 0.502 0.955
Au3 0.491 0.000 0.326
# * DFT formation energy: 0.071 eV per atom
# * volume: 16.61 Å³ per atom
# * total magnetic moment: 0.0 μB per formula unit



No. 7
# PBE-GGA Cu5RhAu8, optimized geometry
data_Cu5RhAu8
_space_group_name_H-M_alt 'I -4'
_space_group_IT_number 82
_space_group_name_Hall 'I -4'
_cell_length_a 7.760
_cell_length_b 7.760
_cell_length_c 7.751
_cell_angle_alpha 90.00
_cell_angle_beta 90.00
_cell_angle_gamma 90.00
loop_
_atom_site_label
_atom_site_fract_x
_atom_site_fract_y
_atom_site_fract_z
Cu1 0.000 0.000 0.000
Cu2 0.127 0.775 0.602
Rh1 0.000 0.500 0.250
Au1 0.069 0.669 0.932
Au2 0.095 0.835 0.274
# * DFT formation energy: 0.138 eV per atom
# * volume: 16.67 Å³ per atom
# * total magnetic moment: 0.0 μB per formula unit



No. 8
# PBE-GGA Cu8RhAu6, optimized geometry
data_Cu8RhAu6
_space_group_name_H-M_alt 'R -3'
_space_group_IT_number 148
_space_group_name_Hall '-R 3'
_cell_length_a 7.4310
_cell_length_b 7.4310
_cell_length_c 14.4236
_cell_angle_alpha 90.00
_cell_angle_beta 90.00
_cell_angle_gamma 120.00
loop_
_atom_site_label
_atom_site_fract_x
_atom_site_fract_y
_atom_site_fract_z
Cu1 0.0000 0.0000 0.1847
Cu2 0.0128 0.5965 0.5744
Rh1 0.0000 0.0000 0.0000
Au1 0.0104 0.7721 0.4127
# * DFT formation energy: 0.117 eV per atom
# * volume: 15.33 Å³ per atom
# * total magnetic moment: 0.0 μB per formula unit



No. 9
# PBE-GGA Cu2Rh2Au, optimized geometry
data_Cu2Rh2Au
_space_group_name_H-M_alt 'P 4/m b m'
_space_group_IT_number 127
_space_group_name_Hall '-P 4 2ab'
_cell_length_a 7.275
_cell_length_b 7.275
_cell_length_c 2.783
_cell_angle_alpha 90.00
_cell_angle_beta 90.00
_cell_angle_gamma 90.00
loop_
_atom_site_label
_atom_site_fract_x
_atom_site_fract_y
_atom_site_fract_z
Cu1 0.168 0.332 0.000
Rh1 0.129 0.629 0.500
Au1 0.000 0.000 0.500
# * DFT formation energy: 0.243 eV per atom
# * volume: 14.73 Å³ per atom
# * total magnetic moment: 0.5 μB per formula unit



No. 10
# PBE-GGA Cu14RhAu, optimized geometry
data_Cu14RhAu
_space_group_name_H-M_alt 'A m m 2'
_space_group_IT_number 38
_space_group_name_Hall 'A 2 -2'
_cell_length_a 8.422
_cell_length_b 5.385
_cell_length_c 8.884
_cell_angle_alpha 90.00
_cell_angle_beta 90.00
_cell_angle_gamma 90.00
loop_
_atom_site_label
_atom_site_fract_x
_atom_site_fract_y
_atom_site_fract_z
Cu1 0.000 0.000 0.000
Cu2 0.000 0.000 0.500
Cu3 0.000 0.250 0.248
Cu4 0.241 0.246 0.423
Cu5 0.245 0.000 0.669
Cu6 0.247 0.000 0.171
Cu7 0.500 0.249 0.097
Rh1 0.500 0.000 0.348
Au1 0.500 0.000 0.848
# * DFT formation energy: 0.025 eV per atom
# * volume: 12.59 Å³ per atom
# * total magnetic moment: 0.0 μB per formula unit



No. 11
# PBE-GGA CuRhAu, optimized geometry
data_CuRhAu
_space_group_name_H-M_alt 'F m m 2'
_space_group_IT_number 42
_space_group_name_Hall 'F 2 -2'
_cell_length_a 2.865
_cell_length_b 4.673
_cell_length_c 13.608
_cell_angle_alpha 90.00
_cell_angle_beta 90.00
_cell_angle_gamma 90.00
loop_
_atom_site_label
_atom_site_fract_x
_atom_site_fract_y
_atom_site_fract_z
Cu1 0.000 0.000 0.000
Rh1 0.000 0.000 0.655
Au1 0.000 0.000 0.335
# * DFT formation energy: 0.172 eV per atom
# * volume: 15.18 Å³ per atom
# * total magnetic moment: 0.4 μB per formula unit



No. 12
# PBE-GGA CuRhAu4, optimized geometry
data_CuRhAu4
_space_group_name_H-M_alt 'F -4 3 m'
_space_group_IT_number 216
_space_group_name_Hall 'F -4 2 3'
_cell_length_a 7.630
_cell_length_b 7.630
_cell_length_c 7.630
_cell_angle_alpha 90.00
_cell_angle_beta 90.00
_cell_angle_gamma 90.00
loop_
_atom_site_label
_atom_site_fract_x
_atom_site_fract_y
_atom_site_fract_z
Cu1 0.000 0.000 0.000
Rh1 0.250 0.250 0.250
Au1 0.125 0.125 0.625
# * DFT formation energy: 0.444 eV per atom
# * volume: 18.51 Å³ per atom
# * total magnetic moment: 0.0 μB per formula unit



No. 13
# PBE-GGA CuRhAu, optimized geometry
data_CuRhAu
_space_group_name_H-M_alt 'F -4 3 m'
_space_group_IT_number 216
_space_group_name_Hall 'F -4 2 3'
_cell_length_a 5.873
_cell_length_b 5.873
_cell_length_c 5.873
_cell_angle_alpha 90.00
_cell_angle_beta 90.00
_cell_angle_gamma 90.00
loop_
_atom_site_label
_atom_site_fract_x
_atom_site_fract_y
_atom_site_fract_z
Cu1 0.000 0.000 0.000
Rh1 0.250 0.250 0.250
Au1 0.250 0.250 0.750
# * DFT formation energy: 0.403 eV per atom
# * volume: 16.88 Å³ per atom
# * total magnetic moment: 0.9 μB per formula unit



No. 14
# PBE-GGA CuRhAu, optimized geometry
data_CuRhAu
_space_group_name_H-M_alt 'I m m 2'
_space_group_IT_number 44
_space_group_name_Hall 'I 2 -2'
_cell_length_a 2.775
_cell_length_b 3.772
_cell_length_c 8.577
_cell_angle_alpha 90.00
_cell_angle_beta 90.00
_cell_angle_gamma 90.00
loop_
_atom_site_label
_atom_site_fract_x
_atom_site_fract_y
_atom_site_fract_z
Cu1 0.000 0.000 0.000
Rh1 0.000 0.000 0.347
Au1 0.000 0.000 0.668
# * DFT formation energy: 0.142 eV per atom
# * volume: 14.96 Å³ per atom
# * total magnetic moment: 0.4 μB per formula unit



No. 15
# PBE-GGA CuRhAu3, optimized geometry
data_CuRhAu3
_space_group_name_H-M_alt 'P m -3 m'
_space_group_IT_number 221
_space_group_name_Hall '-P 4 2 3'
_cell_length_a 5.001
_cell_length_b 5.001
_cell_length_c 5.001
_cell_angle_alpha 90.00
_cell_angle_beta 90.00
_cell_angle_gamma 90.00
loop_
_atom_site_label
_atom_site_fract_x
_atom_site_fract_y
_atom_site_fract_z
Cu1 0.000 0.000 0.000
Rh1 0.500 0.500 0.500
Au1 0.000 0.500 0.500
# * DFT formation energy: 1.166 eV per atom
# * volume: 25.02 Å³ per atom
# * total magnetic moment: 0.0 μB per formula unit



No. 16
# PBE-GGA CuRh2Au2, optimized geometry
data_CuRh2Au2
_space_group_name_H-M_alt 'P 4/m b m'
_space_group_IT_number 127
_space_group_name_Hall '-P 4 2ab'
_cell_length_a 6.490
_cell_length_b 6.490
_cell_length_c 3.966
_cell_angle_alpha 90.00
_cell_angle_beta 90.00
_cell_angle_gamma 90.00
loop_
_atom_site_label
_atom_site_fract_x
_atom_site_fract_y
_atom_site_fract_z
Cu1 0.000 0.000 0.000
Rh1 0.137 0.363 0.000
Au1 0.166 0.666 0.500
# * DFT formation energy: 0.371 eV per atom
# * volume: 16.71 Å³ per atom
# * total magnetic moment: 0.9 μB per formula unit



No. 17
# PBE-GGA Cu2Rh2Au, optimized geometry
data_Cu2Rh2Au
_space_group_name_H-M_alt 'P 4/m b m'
_space_group_IT_number 127
_space_group_name_Hall '-P 4 2ab'
_cell_length_a 7.270
_cell_length_b 7.270
_cell_length_c 2.743
_cell_angle_alpha 90.00
_cell_angle_beta 90.00
_cell_angle_gamma 90.00
loop_
_atom_site_label
_atom_site_fract_x
_atom_site_fract_y
_atom_site_fract_z
Cu1 0.124 0.376 0.000
Rh1 0.172 0.672 0.500
Au1 0.000 0.000 0.000
# * DFT formation energy: 0.228 eV per atom
# * volume: 14.50 Å³ per atom
# * total magnetic moment: 0.0 μB per formula unit



No. 18
# PBE-GGA CuRh3Au, optimized geometry
data_CuRh3Au
_space_group_name_H-M_alt 'P m -3 m'
_space_group_IT_number 221
_space_group_name_Hall '-P 4 2 3'
_cell_length_a 4.489
_cell_length_b 4.489
_cell_length_c 4.489
_cell_angle_alpha 90.00
_cell_angle_beta 90.00
_cell_angle_gamma 90.00
loop_
_atom_site_label
_atom_site_fract_x
_atom_site_fract_y
_atom_site_fract_z
Cu1 0.000 0.000 0.000
Rh1 0.000 0.000 0.500
Au1 0.500 0.500 0.500
# * DFT formation energy: 1.182 eV per atom
# * volume: 18.09 Å³ per atom
# * total magnetic moment: 2.1 μB per formula unit



No. 19
# PBE-GGA Cu7Rh2Au2, optimized geometry
data_Cu7Rh2Au2
_space_group_name_H-M_alt 'C 1 2/m 1'
_space_group_IT_number 12
_space_group_name_Hall '-C 2y'
_cell_length_a 6.711
_cell_length_b 8.139
_cell_length_c 6.031
_cell_angle_alpha 90.00
_cell_angle_beta 105.39
_cell_angle_gamma 90.00
loop_
_atom_site_label
_atom_site_fract_x
_atom_site_fract_y
_atom_site_fract_z
Cu1 0.000 0.000 0.000
Cu2 0.170 0.267 0.158
Cu3 0.220 0.000 0.500
Rh1 0.102 0.500 0.848
Au1 0.000 0.264 0.500
# * DFT formation energy: 0.142 eV per atom
# * volume: 14.44 Å³ per atom
# * total magnetic moment: 0.0 μB per formula unit



No. 20
# PBE-GGA Cu5RhAu4, optimized geometry
data_Cu5RhAu4
_space_group_name_H-M_alt 'P 4/m m m'
_space_group_IT_number 123
_space_group_name_Hall '-P 4 2'
_cell_length_a 3.021
_cell_length_b 3.021
_cell_length_c 16.078
_cell_angle_alpha 90.00
_cell_angle_beta 90.00
_cell_angle_gamma 90.00
loop_
_atom_site_label
_atom_site_fract_x
_atom_site_fract_y
_atom_site_fract_z
Cu1 0.000 0.000 0.000
Cu2 0.000 0.000 0.205
Cu3 0.000 0.000 0.409
Rh1 0.500 0.500 0.500
Au1 0.500 0.500 0.103
Au2 0.500 0.500 0.308
# * DFT formation energy: -0.006 eV per atom
# * volume: 14.68 Å³ per atom
# * total magnetic moment: 0.4 μB per formula unit